[1]
## CsC (PBE-GGA)

Data for an optimized crystal structure of CsC.

Distance to the lowest polymorph of the same formula = 12 meV/atom
Fermi-level density of states = 0.0 states/eV/f.u.
E_form = 0.32 eV per atom
Space-group type = No. 62
Calculated total energy = -75.492 eV per cell

Cell: 5.0640 9.8117 10.4786 Å, 90.00 90.00 90.00°
Closest atoms and distances in Å follow each position.
Sites, in units of the cell vectors:
1 C 0.2500 0.6743 0.6511  1 C 1.27
2 C 0.7500 0.3257 0.3489  1 C 1.27
3 C 0.2500 0.1743 0.8489  1 C 1.27
4 Cs 0.7500 0.1580 0.0707  7 C 3.30-3.58
5 Cs 0.2500 0.4852 0.1674  5 C 3.34-3.53
6 Cs 0.2500 0.9852 0.3326  5 C 3.34-3.53
7 C 0.7500 0.8257 0.1511  1 C 1.27
8 C 0.7500 0.2131 0.4089  1 C 1.27
9 Cs 0.7500 0.5148 0.8326  5 C 3.34-3.53
10 C 0.7500 0.7131 0.0911  1 C 1.27
11 Cs 0.2500 0.8420 0.9293  7 C 3.30-3.58
12 Cs 0.7500 0.6580 0.4293  7 C 3.30-3.58
13 C 0.2500 0.7869 0.5911  1 C 1.27
14 C 0.2500 0.2869 0.9089  1 C 1.27
15 Cs 0.7500 0.0148 0.6674  5 C 3.34-3.53
16 Cs 0.2500 0.3420 0.5707  7 C 3.30-3.58

---

[2]
## TeSe (PBE-GGA)

Data for an optimized crystal structure of TeSe.

Fermi-level density of states = 0.8 states/eV/f.u.
Energy relative to the elements, uncorrected = 0.1048 eV per atom
Space-group type = No. 74
Calculated total energy = -12.833 eV per cell

Cell: 8.9538 8.9538 8.9538 Å, 155.10 154.85 35.68°
Closest atoms and distances in Å follow each position.
Sites, in units of the cell vectors:
1 Se 0.6457 0.8957 0.2500  4 Te 2.85
2 Se 0.3543 0.1043 0.7500  4 Te 2.85
3 Te 0.1015 0.3515 0.2500  4 Se 2.85
4 Te 0.8985 0.6485 0.7500  4 Se 2.85